Compound: TiV2F
Source: Alexandria
Functional: PBE+U
Structure: relaxed

Lattice parameters (Å, degrees): 7.437 7.437 4.631 90.00 90.00 90.00
Atoms (fractional coordinates):
1 Ti 0.000 0.000 0.000
2 Ti 0.000 0.500 0.250
3 Ti 0.500 0.000 0.750
4 Ti 0.500 0.500 0.500
5 V 0.155 0.250 0.625
6 V 0.250 0.655 0.875
7 V 0.250 0.845 0.375
8 V 0.345 0.250 0.125
9 V 0.655 0.750 0.125
10 V 0.750 0.155 0.375
11 V 0.750 0.345 0.875
12 V 0.845 0.750 0.625
13 F 0.000 0.000 0.500
14 F 0.000 0.500 0.750
15 F 0.500 0.000 0.250
16 F 0.500 0.500 0.000

Results
- total DFT energy (no corrections) (eV per atom) = -5.81
- distance to the lowest polymorph of the same formula (meV/atom) = 0.0